[1]
{
  "formula": "ZnBiAu3",
  "functional": "PBE",
  "state": "optimized geometry",
  "lattice_angstrom": [[5.425, 0.000, 0.000], [0.000, 5.425, 0.000], [0.000, 0.000, 5.425]],
  "species": ["Zn", "Bi", "Au", "Au", "Au"],
  "frac_coords": [[0.000, 0.000, 0.000], [0.500, 0.500, 0.500], [0.000, 0.500, 0.500], [0.500, 0.000, 0.500], [0.500, 0.500, 0.000]],
  "formation_energy_ev_per_atom": 0.613,
  "e_tot_ev_per_atom": -2.384,
  "e_above_lowest_polymorph_kj_per_mol_atoms": 58.4,
  "dos_at_fermi_per_ev_atom": 0.08
}



[2]
{
  "formula": "CoTe2Se",
  "functional": "PBE",
  "state": "optimized geometry",
  "lattice_angstrom": [[-1.725, 2.233, 6.019], [1.725, -2.233, 6.019], [1.725, 2.233, -6.019]],
  "species": ["Co", "Te", "Te", "Se"],
  "frac_coords": [[0.000, 0.000, 0.000], [0.160, 0.660, 0.500], [0.840, 0.340, 0.500], [0.500, 0.500, 0.000]],
  "formation_energy_uncorrected_ev_per_atom": 0.16,
  "e_tot_ev_per_atom": -4.057,
  "dos_at_fermi_per_ev_atom": 0.70
}



[3]
{
  "formula": "Ba2ThCu2Se5",
  "functional": "PBE",
  "state": "optimized geometry",
  "lattice_angstrom": [[7.144, -2.151, 0.000], [7.144, 2.151, 0.000], [-4.232, 0.000, 8.896]],
  "species": ["Ba", "Ba", "Th", "Cu", "Cu", "Se", "Se", "Se", "Se", "Se"],
  "frac_coords": [[0.175, 0.175, 0.192], [0.825, 0.825, 0.808], [0.000, 0.000, 0.500], [0.448, 0.448, 0.210], [0.552, 0.552, 0.790], [0.149, 0.149, 0.813], [0.383, 0.383, 0.565], [0.500, 0.500, 0.000], [0.617, 0.617, 0.435], [0.851, 0.851, 0.187]],
  "formation_energy_uncorrected_ev_per_atom": -1.44,
  "e_tot_ev_per_atom": -5.130
}



[4]
{
  "formula": "LaDy2Zn2Ga2",
  "functional": "PBE",
  "state": "optimized geometry",
  "lattice_angstrom": [[2.245, 1.296, 9.440], [-2.245, 1.296, 9.440], [0.000, -2.593, 9.440]],
  "species": ["La", "Dy", "Dy", "Zn", "Zn", "Ga", "Ga"],
  "frac_coords": [[0.000, 0.000, 0.000], [0.129, 0.129, 0.129], [0.871, 0.871, 0.871], [0.407, 0.407, 0.407], [0.593, 0.593, 0.593], [0.256, 0.256, 0.256], [0.744, 0.744, 0.744]],
  "formation_energy_ev_per_atom": -0.414,
  "e_tot_ev_per_atom": -3.662,
  "dos_at_fermi_per_ev_atom": 0.61
}